Below is crystalline Mg2As at its relaxed geometry, with properties calculated at the GGA-PBE level.

uncorrected energy: -2.8799 eV/atom
formation energy: -267 meV per atom
magnetic moment: 0.0 Bohr magnetons per cell

a = 4.1368 Å, b = 4.1370 Å, c = 4.8849 Å
α = 90.04°, β = 90.00°, γ = 120.00°
With the nearest neighbours (Å) after each atom.
Positions (direct):
As1 0.0000 0.0000 0.0000  6 Mg 2.68
Mg1 0.3332 0.6663 0.7505  3 As 2.68
Mg2 0.6668 0.3337 0.2495  3 As 2.68

Below is crystalline NiPb5 at its relaxed geometry, with properties calculated at the GGA-PBE level.

uncorrected energy: -3.9564 eV/atom
formation energy: 97 meV per atom
magnetic moment: 0.0 Bohr magnetons per cell

a = 3.3982 Å, b = 3.3982 Å, c = 14.3533 Å
α = 90.00°, β = 90.00°, γ = 90.00°
With the nearest neighbours (Å) after each atom.
Positions (direct):
Pb1 0.0000 0.0000 0.8838  4 Ni 2.93
Pb2 0.0000 0.0000 0.1162  4 Ni 2.93
Pb3 0.5000 0.5000 0.6833  12 Pb 3.40-3.75
Pb4 0.5000 0.5000 0.3167  12 Pb 3.40-3.75
Pb5 0.0000 0.0000 0.5000  12 Pb 3.40-3.56
Ni1 0.5000 0.5000 0.0000  8 Pb 2.93

Below is crystalline MgTlRe2 at its relaxed geometry, with properties calculated at the GGA-PBE level.

uncorrected energy: -6.5466 eV/atom
formation energy: 668 meV per atom
magnetic moment: 0.0 Bohr magnetons per cell

a = 4.8097 Å, b = 2.8459 Å, c = 5.2151 Å
α = 86.23°, β = 90.00°, γ = 90.00°
With the nearest neighbours (Å) after each atom.
Positions (direct):
Re1 0.0000 0.4184 0.5276  1 Re 2.45
Re2 0.0000 0.0816 0.9724  1 Re 2.45
Mg1 0.5000 0.7500 0.7500  2 Mg 2.85, 4 Re 2.86, 4 Tl 2.89-3.05
Tl1 0.5000 0.2500 0.2500  2 Tl 2.85, 4 Re 2.86, 4 Mg 2.89-3.05

Below is crystalline Ac2DyAl at its relaxed geometry, with properties calculated at the GGA-PBE level.

uncorrected energy: -4.1710 eV/atom
formation energy: -31 meV per atom
magnetic moment: 0.0 Bohr magnetons per cell

a = 4.9958 Å, b = 5.1746 Å, c = 5.1746 Å
α = 90.00°, β = 90.00°, γ = 90.00°
With the nearest neighbours (Å) after each atom.
Positions (direct):
Ac1 0.0000 0.5000 0.0000  4 Al 3.60, 4 Dy 3.60, 4 Ac 3.66
Ac2 0.0000 0.0000 0.5000  4 Al 3.60, 4 Dy 3.60, 4 Ac 3.66
Al1 0.5000 0.0000 0.0000  8 Ac 3.60, 4 Dy 3.66
Dy1 0.5000 0.5000 0.5000  8 Ac 3.60, 4 Al 3.66